# Cs2VBr6O

Crystalline Cs2VBr6O at its relaxed geometry (PBE+U, Alexandria). Values from VASP.

Geometry as Quantum ESPRESSO input:
```
&SYSTEM
  ibrav = 0, nat = 10, ntyp = 4
/
ATOMIC_SPECIES
Cs 132.91 Cs.upf
O 16.00 O.upf
Br 79.90 Br.upf
V 50.94 V.upf
CELL_PARAMETERS angstrom
7.5115 0.0000 0.0000
0.0000 7.5115 0.0000
3.7557 3.7557 5.7859
ATOMIC_POSITIONS crystal
Cs 0.7500 0.2500 0.5000
Cs 0.2500 0.7500 0.5000
O 0.5000 0.5000 0.0000
Br 0.2165 0.2165 0.5670
Br 0.7835 0.7835 0.4330
Br 0.2369 0.2369 0.0000
Br 0.7631 0.7631 0.0000
Br 0.7631 0.2369 0.0000
Br 0.2369 0.7631 0.0000
V 0.0000 0.0000 0.0000
```

DFT total energy   -3.110 eV/atom
SG   I4/mmm, No. 139
DOS at the Fermi energy   1.139 states/eV/atom
Magnetic moment   0.15 μB/atom